Material: SrPtN2F
Method: DFT, PBE
State: optimized geometry

- E_tot: -3.8200 eV per atom
- E above lowest polymorph: 1880.3 meV per atom
- Calculated density: 5.772 g/cm3
- ΔE_f (raw): 1.43 eV per atom
- Magnetization: 0.09 μB/f.u.

abc: 4.6804 4.6804 4.3299
angles: 90.00 90.00 90.00
With the nearest neighbours (Å) after each atom.
Space group P4/mmm (No. 123)
One atom of each set of equivalent atoms:
1 Sr 0.0000 0.0000 0.0000  2 F 2.16, 4 N 2.34
2 Pt 0.5000 0.5000 0.5000  8 N 3.19, 4 F 3.31
3 N 0.0000 0.5000 0.0000  2 Sr 2.34
4 F 0.0000 0.0000 0.5000  2 Sr 2.16

Material: TbGe2Rh
Method: DFT, PBE
State: optimized geometry

- E_tot: -6.1510 eV per atom
- E_form: -0.847 eV per atom
- Calculated density: 8.796 g/cm3
- Magnetization: 0.00 μB/f.u.

abc: 4.2765 8.9344 16.0914
angles: 90.00 90.00 90.00
With the nearest neighbours (Å) after each atom.
Space group Immm (No. 71)
One atom of each set of equivalent atoms:
1 Tb 0.0000 0.0000 0.2053  8 Ge 2.96-3.10, 6 Rh 3.24-3.27
2 Tb 0.0000 0.2368 0.0000  4 Rh 3.18, 10 Ge 3.25-3.42
3 Ge 0.0000 0.0000 0.4212  2 Rh 2.47, 1 Ge 2.53
4 Ge 0.0000 0.3472 0.1993  3 Rh 2.46-2.64, 1 Ge 2.73
5 Ge 0.0000 0.5000 0.4230  1 Ge 2.48, 2 Rh 2.50
6 Rh 0.0000 0.2490 0.3540  5 Ge 2.46-2.64

Material: Hf3NbSb
Method: DFT, PBE
State: optimized geometry

- E_tot: -7.6478 eV per atom
- E above lowest polymorph: 1413.5 meV per atom
- Calculated density: 9.141 g/cm3
- ΔE_f (raw): 1.16 eV per atom
- Magnetization: 0.00 μB/f.u.

abc: 5.1459 5.1459 5.1459
angles: 90.00 90.00 90.00
With the nearest neighbours (Å) after each atom.
Space group Pm-3m (No. 221)
One atom of each set of equivalent atoms:
1 Hf 0.0000 0.0000 0.5000  2 Sb 2.57
2 Nb 0.5000 0.5000 0.5000  12 Hf 3.64
3 Sb 0.0000 0.0000 0.0000  6 Hf 2.57

Material: Pr8CS4N3
Method: DFT, PBE
State: optimized geometry

- E_tot: -7.1019 eV per atom
- Calculated density: 6.388 g/cm3
- ΔE_f (raw): -1.54 eV per atom
- Magnetization: 0.00 μB/f.u.

abc: 7.7062 7.7062 19.8586
angles: 90.00 90.00 120.00
With the nearest neighbours (Å) after each atom.
Space group R-3m (No. 166, hexagonal axes)
One atom of each set of equivalent atoms:
1 Pr 0.0000 0.0000 0.2373  3 N 2.63, 3 S 2.93
2 Pr 0.9995 0.4998 0.2383  2 N 2.64, 1 C 2.64, 3 S 2.91-2.92
3 C 0.0000 0.0000 0.5000  6 Pr 2.64
4 S 0.0000 0.0000 0.0000  6 Pr 2.91
5 S 0.0000 0.5000 0.0000  6 Pr 2.92-2.93
6 N 0.0000 0.5000 0.5000  6 Pr 2.63-2.64

Material: LiCa3Y3O8
Method: DFT, PBE
State: optimized geometry

- E_tot: -7.4437 eV per atom
- Calculated density: 4.068 g/cm3
- ΔE_f (raw): -2.98 eV per atom
- Magnetization: 0.00 μB/f.u.

abc: 6.6875 6.6875 16.5010
angles: 90.00 90.00 120.00
With the nearest neighbours (Å) after each atom.
Space group R-3m (No. 166, hexagonal axes)
One atom of each set of equivalent atoms:
1 Li 0.0000 0.0000 0.0000  6 O 2.26
2 Ca 0.0000 0.5000 0.5000  6 O 2.40-2.44
3 Y 0.0000 0.5000 0.0000  6 O 2.31-2.34
4 O 0.0000 0.0000 0.2532  3 Y 2.34, 3 Ca 2.40
5 O 0.0058 0.5029 0.7414  1 Li 2.26, 2 Y 2.31, 2 Ca 2.44

Material: BeIn2RhAu
Method: DFT, PBE
State: optimized geometry

- E_tot: -3.3004 eV per atom
- E_form: 0.666 eV per atom
- Calculated density: 6.725 g/cm3
- Magnetization: 0.00 μB/f.u.

abc: 5.0527 5.0527 5.2085
angles: 90.00 90.00 90.00
With the nearest neighbours (Å) after each atom.
Space group P4/mmm (No. 123)
One atom of each set of equivalent atoms:
1 Be 0.0000 0.0000 0.0000  4 Au 3.57, 8 In 3.63
2 In 0.0000 0.5000 0.5000  2 Rh 2.53
3 Rh 0.5000 0.5000 0.5000  4 In 2.53, 2 Au 2.60
4 Au 0.5000 0.5000 0.0000  2 Rh 2.60

Material: MoOsW2
Method: DFT, PBE
State: optimized geometry

- E_tot: -11.7737 eV per atom
- E_form: 0.218 eV per atom
- E above lowest polymorph: 82.7 meV per atom
- Calculated density: 17.250 g/cm3
- Magnetization: 0.00 μB/f.u.

abc: 4.0161 4.0161 3.9025
angles: 90.00 90.00 90.00
With the nearest neighbours (Å) after each atom.
Space group P4/mmm (No. 123)
One atom of each set of equivalent atoms:
1 Mo 0.0000 0.0000 0.0000  8 W 2.80, 4 Os 2.84
2 Os 0.5000 0.5000 0.0000  8 W 2.80, 4 Mo 2.84
3 W 0.0000 0.5000 0.5000  4 Os 2.80, 4 Mo 2.80, 4 W 2.84

Material: In2TcP
Method: DFT, PBE
State: optimized geometry

- E_tot: -5.2635 eV per atom
- E_form: 0.050 eV per atom
- Calculated density: 7.680 g/cm3
- Magnetization: 0.00 μB/f.u.

abc: 10.6298 3.1120 4.8864
angles: 90.00 106.39 90.00
With the nearest neighbours (Å) after each atom.
Space group Cm (No. 8)
One atom of each set of equivalent atoms:
1 In 0.0000 0.0000 0.0000  4 P 2.90-3.21, 3 Tc 2.97, 3 In 3.11-3.16
2 In 0.2060 0.0000 0.6431  1 P 2.70, 4 Tc 2.86-3.00
3 Tc 0.2485 0.5000 0.1525  2 P 2.36
4 P 0.4056 0.0000 0.4023  2 Tc 2.36

Material: Ca3MgBr
Method: DFT, PBE
State: optimized geometry

- E_tot: -2.1552 eV per atom
- E above lowest polymorph: 0.0 meV per atom
- Calculated density: 2.066 g/cm3
- ΔE_f (raw): -0.30 eV per atom
- Magnetization: 0.00 μB/f.u.

abc: 5.6501 5.6501 5.6501
angles: 90.00 90.00 90.00
With the nearest neighbours (Å) after each atom.
Space group Pm-3m (No. 221)
One atom of each set of equivalent atoms:
1 Ca 0.0000 0.0000 0.5000  2 Br 2.83
2 Mg 0.5000 0.5000 0.5000  12 Ca 4.00
3 Br 0.0000 0.0000 0.0000  6 Ca 2.83